Record 1
Here is crystalline CeSmY2S4 at its relaxed geometry from the Alexandria database. Energies are from PBE.

Calculated values
Electronic total energy (eV/atom): -7.035
Total magnetization (μB per formula unit): 0.8
Energy relative to the elements, uncorrected (eV/atom): -2.024

Lattice parameters (Å, degrees): 6.8556 3.9454 6.9136 90.00 109.20 90.00
Last column: nearest neighbours and their distance in Å.
Space group P2/m (No. 10)
One atom of each set of equivalent atoms:
Ce: 0.0000 0.0000 0.0000 x1  6 S 2.84
Sm: 0.5000 0.5000 0.0000 x1  6 S 2.84
Y: 0.0000 0.5000 0.5000 x1  6 S 2.77
Y: 0.5000 0.0000 0.5000 x1  6 S 2.77
S: 0.2474 0.0000 0.7409 x2  3 Y 2.77, 2 Sm 2.84, 1 Ce 2.84
S: 0.2540 0.5000 0.2598 x2  3 Y 2.77, 1 Sm 2.84, 2 Ce 2.84



Record 2
Here is crystalline TaHgOs2 at its relaxed geometry from the Alexandria database. Energies are from PBE.

Calculated values
Electronic total energy (eV/atom): -7.724
Total magnetization (μB per formula unit): 0.0
Energy of formation from the pure elements (eV/atom): 0.930

Lattice parameters (Å, degrees): 7.4147 7.4147 5.4915 90.00 90.00 90.00
Last column: nearest neighbours and their distance in Å.
Space group I-42d (No. 122)
One atom of each set of equivalent atoms:
Ta: 0.0000 0.0000 0.0000 x4  4 Os 2.52, 2 Hg 2.75
Hg: 0.0000 0.0000 0.5000 x4  2 Ta 2.75, 4 Os 2.92
Os: 0.2103 0.2500 0.1250 x8  2 Ta 2.52, 2 Os 2.81



Record 3
Here is crystalline Tb8Sm6Pu at its relaxed geometry from the Alexandria database. Energies are from PBE.

Calculated values
Electronic total energy (eV/atom): -5.198
Total magnetization (μB per formula unit): 6.4
Energy of formation from the pure elements (eV/atom): 0.114

Lattice parameters (Å, degrees): 9.0934 9.0934 20.5469 90.00 90.00 120.00
Last column: nearest neighbours and their distance in Å.
Space group R-3 (No. 148, hexagonal axes)
One atom of each set of equivalent atoms:
Tb: 0.0000 0.0000 0.0765 x6  4 Tb 3.14-3.43, 3 Sm 3.38
Tb: 0.0825 0.5580 0.3064 x18  3 Sm 3.40-3.66, 5 Tb 3.43-3.46, 1 Pu 3.49
Sm: 0.0686 0.2526 0.2072 x18  4 Tb 3.38-3.66, 1 Pu 3.41, 4 Sm 3.56-3.70
Pu: 0.0000 0.0000 0.5000 x3  6 Sm 3.41, 6 Tb 3.49



Record 4
Here is crystalline RbPdAuCl6 at its relaxed geometry from the Alexandria database. Energies are from PBE.

Calculated values
Electronic total energy (eV/atom): -3.010
Total magnetization (μB per formula unit): 0.1
Energy relative to the elements, uncorrected (eV/atom): -0.730

Lattice parameters (Å, degrees): 5.3843 6.2384 9.9027 80.84 79.27 74.15
Last column: nearest neighbours and their distance in Å.
Space group P1 (No. 1)
One atom of each set of equivalent atoms:
Rb: 0.0000 0.0000 0.0000 x1  7 Cl 3.27-3.65
Pd: 0.5706 0.6481 0.3036 x1  4 Cl 2.28-2.37
Au: 0.4852 0.3820 0.6363 x1  4 Cl 2.31-2.36
Cl: 0.2141 0.4798 0.8383 x1  1 Au 2.31
Cl: 0.3467 0.7444 0.5224 x1  1 Au 2.35, 1 Pd 2.36
Cl: 0.4080 0.0048 0.2063 x1  1 Pd 2.28
Cl: 0.6345 0.0242 0.7422 x1  1 Au 2.31
Cl: 0.7486 0.2951 0.4231 x1  1 Au 2.36, 1 Pd 2.37
Cl: 0.7647 0.5374 0.0919 x1  1 Pd 2.28



Record 5
Here is crystalline Na2TiSiTc at its relaxed geometry from the Alexandria database. Energies are from PBE.

Calculated values
Electronic total energy (eV/atom): -4.149
Total magnetization (μB per formula unit): 0.9
Energy relative to the elements, uncorrected (eV/atom): 1.116

Lattice parameters (Å, degrees): 4.9172 4.9172 4.6564 90.00 90.00 90.00
Last column: nearest neighbours and their distance in Å.
Space group P4/mmm (No. 123)
One atom of each set of equivalent atoms:
Na: 0.0000 0.5000 0.0000 x2  2 Si 2.46
Ti: 0.0000 0.0000 0.5000 x1  8 Na 3.39, 4 Tc 3.48
Si: 0.5000 0.5000 0.0000 x1  2 Tc 2.33, 4 Na 2.46
Tc: 0.5000 0.5000 0.5000 x1  2 Si 2.33



Record 6
Here is crystalline LaSBr2F at its relaxed geometry from the Alexandria database. Energies are from PBE.

Calculated values
Electronic total energy (eV/atom): -4.772
Total magnetization (μB per formula unit): 0.0
Energy relative to the elements, uncorrected (eV/atom): -1.918

Lattice parameters (Å, degrees): 4.4827 4.7307 7.9377 81.98 74.32 85.63
Last column: nearest neighbours and their distance in Å.
Space group P1 (No. 1)
One atom of each set of equivalent atoms:
La: 0.0000 0.0000 0.0000 x1  2 F 2.37-2.38
S: 0.6286 0.9034 0.7590 x1  1 Br 2.32
Br: 0.3851 0.9523 0.2606 x1  2 La 2.97-3.01
Br: 0.7466 0.3804 0.6844 x1  1 S 2.32
F: 0.0266 0.4957 0.0186 x1  2 La 2.37-2.38



Record 7
Here is crystalline TlH2RuCl8 at its relaxed geometry from the Alexandria database. Energies are from PBE.

Calculated values
Electronic total energy (eV/atom): -3.335
Total magnetization (μB per formula unit): 1.0

Lattice parameters (Å, degrees): 6.6023 6.9036 7.5305 87.70 88.00 87.47
Last column: nearest neighbours and their distance in Å.
Space group P-1 (No. 2)
One atom of each set of equivalent atoms:
Tl: 0.0000 0.0000 0.0000 x1  6 Cl 2.66-2.89
H: 0.2501 0.2938 0.2174 x2  1 Cl 1.39
Ru: 0.0000 0.0000 0.5000 x1  6 Cl 2.35-2.36
Cl: 0.1848 0.8308 0.2775 x2  1 Ru 2.36
Cl: 0.2089 0.8602 0.7221 x2  1 Ru 2.36
Cl: 0.2184 0.2599 0.4624 x2  1 H 1.86
Cl: 0.2703 0.3131 0.0336 x2  1 H 1.39



Record 8
Here is crystalline InCo2S4 at its relaxed geometry from the Alexandria database. Energies are from PBE.

Calculated values
Electronic total energy (eV/atom): -4.989
Total magnetization (μB per formula unit): 3.0
Energy relative to the elements, uncorrected (eV/atom): -0.209

Lattice parameters (Å, degrees): 6.4958 6.4958 11.6724 90.00 90.00 90.00
Last column: nearest neighbours and their distance in Å.
Space group I4_1/a (No. 88, origin choice 2)
One atom of each set of equivalent atoms:
In: 0.0000 0.2500 0.1250 x4  8 S 2.70-2.95
Co: 0.0000 0.0000 0.5000 x8  4 S 2.18-2.21
S: 0.1523 0.4636 0.3317 x16  2 Co 2.18-2.21



These records have theoretical density values of 5.609; 16.764; 8.185; 3.199; 3.244; 3.622; 2.866; 4.868 g cm⁻³, in the order they appear.